(1)
! NpTlBO5 | the Alexandria database | PBE | optimized geometry; values from VASP
! * energy relative to the elements, uncorrected: -48.34 kcal/mol of atoms
! * SG: C2/c
! * total DFT energy (no corrections): -7.94 eV/atom
! * crystal system: monoclinic
! * total moment: 0.995 μB per formula unit
! * DOS(E_F): 1.79 states/eV/cell
&SYSTEM
  ibrav = 0, nat = 16, ntyp = 4
/
ATOMIC_SPECIES
Np 237.00 Np.upf
Tl 204.38 Tl.upf
B 10.81 B.upf
O 16.00 O.upf
CELL_PARAMETERS angstrom
5.7671 0.1307 -0.1982
-1.5585 5.5540 -0.1982
-2.0030 -2.7056 7.2383
ATOMIC_POSITIONS angstrom
Np -1.0015 -1.3528 3.6191
Np 0.0000 0.0000 0.0000
Tl 0.4464 3.0226 1.6113
Tl 1.7591 -0.0435 5.2305
B 3.0237 1.1145 1.6113
B -0.8182 1.8646 5.2305
O -1.6191 4.5517 1.6113
O 3.8246 -1.5726 5.2305
O 4.2440 1.2538 0.7160
O -2.0385 1.7253 6.1259
O 3.2467 -0.0933 2.5067
O -1.0412 3.0724 4.3351
O 2.8682 2.3896 2.3918
O -0.6627 0.5895 4.4501
O 1.7588 0.8911 0.8309
O 0.4467 2.0880 6.0109

=====

(2)
! NpTl2B2O6 | the Alexandria database | PBE | optimized geometry; values from VASP
! * energy relative to the elements, uncorrected: -49.11 kcal/mol of atoms
! * SG: R-3m
! * total DFT energy (no corrections): -7.65 eV/atom
! * crystal system: trigonal
! * total moment: 3.000 μB per formula unit
! * DOS(E_F): 9.92 states/eV/cell
&SYSTEM
  ibrav = 0, nat = 11, ntyp = 4
/
ATOMIC_SPECIES
Np 237.00 Np.upf
Tl 204.38 Tl.upf
B 10.81 B.upf
O 16.00 O.upf
CELL_PARAMETERS angstrom
5.5385 0.0000 0.0000
2.7692 4.7965 0.0000
2.7692 1.5988 6.6593
ATOMIC_POSITIONS angstrom
Np 0.0000 0.0000 0.0000
Tl 8.3077 4.7965 4.2765
Tl 2.7692 1.5988 2.3828
B 5.5385 3.1976 5.3583
B 5.5385 3.1976 1.3010
O 6.7393 3.8909 1.3151
O 4.3377 3.8909 1.3151
O 5.5385 1.8111 1.3151
O 5.5385 4.5842 5.3442
O 6.7393 2.5044 5.3442
O 4.3377 2.5044 5.3442

=====

> Which formula does entry 1 have?

NpTlBO5

=====

> Which formula does entry 2 have?

NpTl2B2O6